Entry 1:
9
Lattice="-2.163 -2.828 6.478 1.890 -4.531 -5.526 6.523 3.440 -0.499" Properties=species:S:1:pos:R:3 comment="Rb2ReBr2Cl4 GGA-PBE optimized geometry" raw_formation_energy_mev_per_atom=-1199 mass_density_g_cm3=3.81 magmom_total_mub_per_fu=3.0 total_energy_ha_per_atom=-0.1466 pbc="T T T"
Rb 4.284 0.033 1.483
Rb 1.967 -3.952 -1.030
Re 0.000 0.000 0.000
Cl 5.474 1.634 -1.638
Cl 2.940 -2.725 -4.387
Br 2.055 -0.266 -1.472
Cl 5.325 -2.390 -1.117
Cl 0.926 -1.529 1.570
Br 6.358 -0.824 -4.553

Entry 2:
9
Lattice="1.044 1.621 -6.354 -6.533 -3.438 -0.820 -6.349 3.714 1.036" Properties=species:S:1:pos:R:3 comment="Rb2ReBr4Cl2 GGA-PBE optimized geometry" raw_formation_energy_mev_per_atom=-1070 mass_density_g_cm3=3.98 magmom_total_mub_per_fu=3.0 total_energy_ha_per_atom=-0.1405 pbc="T T T"
Br -6.846 3.195 -4.057
Br -4.897 2.384 -1.126
Br -4.992 -1.297 -2.081
Rb -3.712 1.243 -4.424
Br -6.941 -0.487 -5.011
Rb -8.126 0.654 -1.714
Cl -10.354 1.356 -4.198
Cl -1.484 0.542 -1.940
Re 0.522 0.811 -3.177

Entry 3:
5
Lattice="-4.640 0.457 -1.649 -1.682 -2.091 4.155 -0.329 4.687 2.225" Properties=species:S:1:pos:R:3 comment="RbRhBrCl2 GGA-PBE optimized geometry" raw_formation_energy_mev_per_atom=-900 mass_density_g_cm3=4.43 magmom_total_mub_per_fu=0.0 dos_ef_per_ev_atom=0.69 total_energy_ha_per_atom=-0.1336 pbc="T T T"
Rh 0.000 0.000 0.000
Cl -0.841 -1.045 2.077
Rb -3.326 1.526 2.365
Cl -2.320 0.228 -0.824
Br -0.165 2.343 1.113

Entry 4:
5
Lattice="5.215 0.000 0.000 0.000 5.215 0.000 0.000 0.000 4.930" Properties=species:S:1:pos:R:3 comment="RbRhBr2Cl GGA-PBE optimized geometry" raw_formation_energy_mev_per_atom=-828 mass_density_g_cm3=4.75 magmom_total_mub_per_fu=0.0 dos_ef_per_ev_atom=0.69 total_energy_ha_per_atom=-0.1298 pbc="T T T"
Cl 0.000 0.000 2.465
Rh 0.000 0.000 0.000
Br 0.000 2.607 0.000
Rb 2.607 2.607 2.465
Br 2.607 0.000 0.000